1.
The following is a DFT calculation (PBE) of a relaxed structure of SrTa3Rh.

Raw total energy, eV/f.u.: -29.568
Density of states at the Fermi level, states/eV per atom: 2.054

Cell and atoms, written as CIF:
```
data_SrTa3Rh
_space_group_name_H-M_alt 'P m -3 m'
_space_group_IT_number 221
_space_group_name_Hall '-P 4 2 3'
_cell_length_a 4.764
_cell_length_b 4.764
_cell_length_c 4.764
_cell_angle_alpha 90.00
_cell_angle_beta 90.00
_cell_angle_gamma 90.00
loop_
_atom_site_label
_atom_site_type_symbol
_atom_site_fract_x
_atom_site_fract_y
_atom_site_fract_z
Sr1 Sr 0.000 0.000 0.000
Ta1 Ta 0.000 0.000 0.500
Rh1 Rh 0.500 0.500 0.500
```

2.
The following is a DFT calculation (PBE) of a relaxed structure of SrTaRh2.

Raw total energy, eV/f.u.: -28.470
Density of states at the Fermi level, states/eV per atom: 0.773

Cell and atoms, written as CIF:
```
data_SrTaRh2
_space_group_name_H-M_alt 'P 1 m 1'
_space_group_IT_number 6
_space_group_name_Hall 'P -2y'
_cell_length_a 3.269
_cell_length_b 4.403
_cell_length_c 6.133
_cell_angle_alpha 90.00
_cell_angle_beta 105.19
_cell_angle_gamma 90.00
loop_
_atom_site_label
_atom_site_type_symbol
_atom_site_fract_x
_atom_site_fract_y
_atom_site_fract_z
Sr1 Sr 0.000 0.000 0.000
Ta1 Ta 0.736 0.500 0.464
Rh1 Rh 0.254 0.000 0.498
Rh2 Rh 0.395 0.500 0.787
```

3.
The following is a DFT calculation (PBE) of a relaxed structure of SrTa3Rh.

Raw total energy, eV/f.u.: -39.655
Density of states at the Fermi level, states/eV per atom: 0.548

Cell and atoms, written as CIF:
```
data_SrTa3Rh
_space_group_name_H-M_alt 'P m -3 m'
_space_group_IT_number 221
_space_group_name_Hall '-P 4 2 3'
_cell_length_a 4.956
_cell_length_b 4.956
_cell_length_c 4.956
_cell_angle_alpha 90.00
_cell_angle_beta 90.00
_cell_angle_gamma 90.00
loop_
_atom_site_label
_atom_site_type_symbol
_atom_site_fract_x
_atom_site_fract_y
_atom_site_fract_z
Sr1 Sr 0.000 0.000 0.000
Ta1 Ta 0.000 0.500 0.500
Rh1 Rh 0.500 0.500 0.500
```

4.
The following is a DFT calculation (PBE) of a relaxed structure of SrTa2Rh.

Raw total energy, eV/f.u.: -29.904
Density of states at the Fermi level, states/eV per atom: 1.058

Cell and atoms, written as CIF:
```
data_SrTa2Rh
_space_group_name_H-M_alt 'P m m m'
_space_group_IT_number 47
_space_group_name_Hall '-P 2 2'
_cell_length_a 2.930
_cell_length_b 4.904
_cell_length_c 5.604
_cell_angle_alpha 90.00
_cell_angle_beta 90.00
_cell_angle_gamma 90.00
loop_
_atom_site_label
_atom_site_type_symbol
_atom_site_fract_x
_atom_site_fract_y
_atom_site_fract_z
Sr1 Sr 0.000 0.000 0.000
Ta1 Ta 0.500 0.500 0.266
Rh1 Rh 0.000 0.000 0.500
```

5.
The following is a DFT calculation (PBE) of a relaxed structure of Sr2TaTlRh.

Raw total energy, eV/f.u.: -20.905
Density of states at the Fermi level, states/eV per atom: 1.131

Cell and atoms, written as CIF:
```
data_Sr2TaTlRh
_space_group_name_H-M_alt 'P 4/m m m'
_space_group_IT_number 123
_space_group_name_Hall '-P 4 2'
_cell_length_a 5.650
_cell_length_b 5.650
_cell_length_c 5.227
_cell_angle_alpha 90.00
_cell_angle_beta 90.00
_cell_angle_gamma 90.00
loop_
_atom_site_label
_atom_site_type_symbol
_atom_site_fract_x
_atom_site_fract_y
_atom_site_fract_z
Sr1 Sr 0.000 0.500 0.000
Ta1 Ta 0.000 0.000 0.500
Tl1 Tl 0.500 0.500 0.500
Rh1 Rh 0.500 0.500 0.000
```

6.
The following is a DFT calculation (PBE) of a relaxed structure of SrTaVRh2.

Raw total energy, eV/f.u.: -30.135
Density of states at the Fermi level, states/eV per atom: 2.143

Cell and atoms, written as CIF:
```
data_SrTaVRh2
_space_group_name_H-M_alt 'P 4/m m m'
_space_group_IT_number 123
_space_group_name_Hall '-P 4 2'
_cell_length_a 4.739
_cell_length_b 4.739
_cell_length_c 5.460
_cell_angle_alpha 90.00
_cell_angle_beta 90.00
_cell_angle_gamma 90.00
loop_
_atom_site_label
_atom_site_type_symbol
_atom_site_fract_x
_atom_site_fract_y
_atom_site_fract_z
Sr1 Sr 0.000 0.000 0.000
Ta1 Ta 0.000 0.000 0.500
V1 V 0.500 0.500 0.000
Rh1 Rh 0.000 0.500 0.500
```

7.
The following is a DFT calculation (PBE) of a relaxed structure of SrYTa2Rh.

Raw total energy, eV/f.u.: -28.237
Density of states at the Fermi level, states/eV per atom: 1.445

Cell and atoms, written as CIF:
```
data_SrYTa2Rh
_space_group_name_H-M_alt 'P 4/m m m'
_space_group_IT_number 123
_space_group_name_Hall '-P 4 2'
_cell_length_a 4.910
_cell_length_b 4.910
_cell_length_c 5.669
_cell_angle_alpha 90.00
_cell_angle_beta 90.00
_cell_angle_gamma 90.00
loop_
_atom_site_label
_atom_site_type_symbol
_atom_site_fract_x
_atom_site_fract_y
_atom_site_fract_z
Sr1 Sr 0.000 0.000 0.000
Y1 Y 0.000 0.000 0.500
Ta1 Ta 0.000 0.500 0.500
Rh1 Rh 0.500 0.500 0.000
```

8.
The following is a DFT calculation (PBE) of a relaxed structure of Sr2TbRh9.

Raw total energy, eV/f.u.: -77.583
Density of states at the Fermi level, states/eV per atom: 1.238

Cell and atoms, written as CIF:
```
data_Sr2TbRh9
_space_group_name_H-M_alt 'R -3 m'
_space_group_IT_number 166
_space_group_name_Hall '-R 3 2"'
_cell_length_a 5.3399
_cell_length_b 5.3399
_cell_length_c 26.7495
_cell_angle_alpha 90.00
_cell_angle_beta 90.00
_cell_angle_gamma 120.00
loop_
_atom_site_label
_atom_site_type_symbol
_atom_site_fract_x
_atom_site_fract_y
_atom_site_fract_z
Sr1 Sr 0.0000 0.0000 0.1409
Tb1 Tb 0.0000 0.0000 0.0000
Rh1 Rh 0.0000 0.0000 0.3323
Rh2 Rh 0.0000 0.0000 0.5000
Rh3 Rh 0.0043 0.5022 0.0792
```

9.
The following is a DFT calculation (PBE) of a relaxed structure of SrTbRh.

Raw total energy, eV/f.u.: -14.904
Density of states at the Fermi level, states/eV per atom: 0.614

Cell and atoms, written as CIF:
```
data_SrTbRh
_space_group_name_H-M_alt 'C 1 2/m 1'
_space_group_IT_number 12
_space_group_name_Hall '-C 2y'
_cell_length_a 21.232
_cell_length_b 5.010
_cell_length_c 7.611
_cell_angle_alpha 90.00
_cell_angle_beta 92.45
_cell_angle_gamma 90.00
loop_
_atom_site_label
_atom_site_type_symbol
_atom_site_fract_x
_atom_site_fract_y
_atom_site_fract_z
Sr1 Sr 0.077 0.000 0.311
Sr2 Sr 0.089 0.500 0.836
Tb1 Tb 0.210 0.000 0.614
Tb2 Tb 0.231 0.000 0.130
Rh1 Rh 0.169 0.500 0.517
Rh2 Rh 0.181 0.500 0.159
```

10.
The following is a DFT calculation (PBE) of a relaxed structure of SrTbRh.

Raw total energy, eV/f.u.: -14.838
Density of states at the Fermi level, states/eV per atom: 0.649

Cell and atoms, written as CIF:
```
data_SrTbRh
_space_group_name_H-M_alt 'I 4 m m'
_space_group_IT_number 107
_space_group_name_Hall 'I 4 -2'
_cell_length_a 3.553
_cell_length_b 3.553
_cell_length_c 13.692
_cell_angle_alpha 90.00
_cell_angle_beta 90.00
_cell_angle_gamma 90.00
loop_
_atom_site_label
_atom_site_type_symbol
_atom_site_fract_x
_atom_site_fract_y
_atom_site_fract_z
Sr1 Sr 0.000 0.000 0.000
Tb1 Tb 0.000 0.000 0.253
Rh1 Rh 0.000 0.000 0.653
```

11.
The following is a DFT calculation (PBE) of a relaxed structure of SrTbRh2.

Raw total energy, eV/f.u.: -23.068
Density of states at the Fermi level, states/eV per atom: 0.185

Cell and atoms, written as CIF:
```
data_SrTbRh2
_space_group_name_H-M_alt 'P 4/m m m'
_space_group_IT_number 123
_space_group_name_Hall '-P 4 2'
_cell_length_a 3.493
_cell_length_b 3.493
_cell_length_c 7.221
_cell_angle_alpha 90.00
_cell_angle_beta 90.00
_cell_angle_gamma 90.00
loop_
_atom_site_label
_atom_site_type_symbol
_atom_site_fract_x
_atom_site_fract_y
_atom_site_fract_z
Sr1 Sr 0.000 0.000 0.000
Tb1 Tb 0.000 0.000 0.500
Rh1 Rh 0.500 0.500 0.283
```

12.
The following is a DFT calculation (PBE) of a relaxed structure of SrTb3Rh8.

Raw total energy, eV/f.u.: -81.822
Density of states at the Fermi level, states/eV per atom: 0.709

Cell and atoms, written as CIF:
```
data_SrTb3Rh8
_space_group_name_H-M_alt 'R 3 m'
_space_group_IT_number 160
_space_group_name_Hall 'R 3 -2"'
_cell_length_a 5.3700
_cell_length_b 5.3700
_cell_length_c 26.4226
_cell_angle_alpha 90.00
_cell_angle_beta 90.00
_cell_angle_gamma 120.00
loop_
_atom_site_label
_atom_site_type_symbol
_atom_site_fract_x
_atom_site_fract_y
_atom_site_fract_z
Sr1 Sr 0.0000 0.0000 0.0000
Tb1 Tb 0.0000 0.0000 0.1247
Tb2 Tb 0.0000 0.0000 0.5004
Tb3 Tb 0.0000 0.0000 0.6261
Rh1 Rh 0.0000 0.0000 0.3127
Rh2 Rh 0.0000 0.0000 0.8130
Rh3 Rh 0.0014 0.5007 0.0647
Rh4 Rh 0.1678 0.3356 0.8946
```

13.
The following is a DFT calculation (PBE) of a relaxed structure of SrTbZnRh.

Raw total energy, eV/f.u.: -16.126
Density of states at the Fermi level, states/eV per atom: 1.094

Cell and atoms, written as CIF:
```
data_SrTbZnRh
_space_group_name_H-M_alt 'F -4 3 m'
_space_group_IT_number 216
_space_group_name_Hall 'F -4 2 3'
_cell_length_a 7.209
_cell_length_b 7.209
_cell_length_c 7.209
_cell_angle_alpha 90.00
_cell_angle_beta 90.00
_cell_angle_gamma 90.00
loop_
_atom_site_label
_atom_site_type_symbol
_atom_site_fract_x
_atom_site_fract_y
_atom_site_fract_z
Sr1 Sr 0.000 0.000 0.000
Tb1 Tb 0.000 0.000 0.500
Zn1 Zn 0.250 0.250 0.750
Rh1 Rh 0.250 0.250 0.250
```

14.
The following is a DFT calculation (PBE) of a relaxed structure of SrTcRh4.

Raw total energy, eV/f.u.: -39.858
Density of states at the Fermi level, states/eV per atom: 1.206

Cell and atoms, written as CIF:
```
data_SrTcRh4
_space_group_name_H-M_alt 'F -4 3 m'
_space_group_IT_number 216
_space_group_name_Hall 'F -4 2 3'
_cell_length_a 7.466
_cell_length_b 7.466
_cell_length_c 7.466
_cell_angle_alpha 90.00
_cell_angle_beta 90.00
_cell_angle_gamma 90.00
loop_
_atom_site_label
_atom_site_type_symbol
_atom_site_fract_x
_atom_site_fract_y
_atom_site_fract_z
Sr1 Sr 0.000 0.000 0.000
Tc1 Tc 0.250 0.250 0.750
Rh1 Rh 0.124 0.124 0.376
```

15.
The following is a DFT calculation (PBE) of a relaxed structure of SrTc3Rh.

Raw total energy, eV/f.u.: -33.281
Density of states at the Fermi level, states/eV per atom: 1.432

Cell and atoms, written as CIF:
```
data_SrTc3Rh
_space_group_name_H-M_alt 'P m -3 m'
_space_group_IT_number 221
_space_group_name_Hall '-P 4 2 3'
_cell_length_a 4.788
_cell_length_b 4.788
_cell_length_c 4.788
_cell_angle_alpha 90.00
_cell_angle_beta 90.00
_cell_angle_gamma 90.00
loop_
_atom_site_label
_atom_site_type_symbol
_atom_site_fract_x
_atom_site_fract_y
_atom_site_fract_z
Sr1 Sr 0.000 0.000 0.000
Tc1 Tc 0.000 0.500 0.500
Rh1 Rh 0.500 0.500 0.500
```

16.
The following is a DFT calculation (PBE) of a relaxed structure of SrTc4Rh.

Raw total energy, eV/f.u.: -47.102
Density of states at the Fermi level, states/eV per atom: 1.668

Cell and atoms, written as CIF:
```
data_SrTc4Rh
_space_group_name_H-M_alt 'F -4 3 m'
_space_group_IT_number 216
_space_group_name_Hall 'F -4 2 3'
_cell_length_a 7.485
_cell_length_b 7.485
_cell_length_c 7.485
_cell_angle_alpha 90.00
_cell_angle_beta 90.00
_cell_angle_gamma 90.00
loop_
_atom_site_label
_atom_site_type_symbol
_atom_site_fract_x
_atom_site_fract_y
_atom_site_fract_z
Sr1 Sr 0.000 0.000 0.000
Tc1 Tc 0.124 0.124 0.624
Rh1 Rh 0.250 0.250 0.250
```

17.
The following is a DFT calculation (PBE) of a relaxed structure of SrTc3Rh.

Raw total energy, eV/f.u.: -24.828
Density of states at the Fermi level, states/eV per atom: 1.647

Cell and atoms, written as CIF:
```
data_SrTc3Rh
_space_group_name_H-M_alt 'P m -3 m'
_space_group_IT_number 221
_space_group_name_Hall '-P 4 2 3'
_cell_length_a 4.652
_cell_length_b 4.652
_cell_length_c 4.652
_cell_angle_alpha 90.00
_cell_angle_beta 90.00
_cell_angle_gamma 90.00
loop_
_atom_site_label
_atom_site_type_symbol
_atom_site_fract_x
_atom_site_fract_y
_atom_site_fract_z
Sr1 Sr 0.000 0.000 0.000
Tc1 Tc 0.000 0.000 0.500
Rh1 Rh 0.500 0.500 0.500
```

18.
The following is a DFT calculation (PBE) of a relaxed structure of Sr2TcRh2.

Raw total energy, eV/f.u.: -27.830
Density of states at the Fermi level, states/eV per atom: 0.910

Cell and atoms, written as CIF:
```
data_Sr2TcRh2
_space_group_name_H-M_alt 'P 4/m b m'
_space_group_IT_number 127
_space_group_name_Hall '-P 4 2ab'
_cell_length_a 6.679
_cell_length_b 6.679
_cell_length_c 5.009
_cell_angle_alpha 90.00
_cell_angle_beta 90.00
_cell_angle_gamma 90.00
loop_
_atom_site_label
_atom_site_type_symbol
_atom_site_fract_x
_atom_site_fract_y
_atom_site_fract_z
Sr1 Sr 0.180 0.320 0.000
Tc1 Tc 0.000 0.000 0.500
Rh1 Rh 0.143 0.643 0.500
```

19.
The following is a DFT calculation (PBE) of a relaxed structure of Sr4TeRh.

Raw total energy, eV/f.u.: -20.925
Energy relative to the elements, uncorrected, meV/atom: -618
Density of states at the Fermi level, states/eV per atom: 0.655

Cell and atoms, written as CIF:
```
data_Sr4TeRh
_space_group_name_H-M_alt 'C 1 2/c 1'
_space_group_IT_number 15
_space_group_name_Hall '-C 2yc'
_cell_length_a 10.084
_cell_length_b 14.606
_cell_length_c 6.945
_cell_angle_alpha 90.00
_cell_angle_beta 119.66
_cell_angle_gamma 90.00
loop_
_atom_site_label
_atom_site_type_symbol
_atom_site_fract_x
_atom_site_fract_y
_atom_site_fract_z
Sr1 Sr 0.114 0.171 0.084
Sr2 Sr 0.225 0.437 0.307
Te1 Te 0.000 0.373 0.750
Rh1 Rh 0.000 0.001 0.750
```

20.
The following is a DFT calculation (PBE) of a relaxed structure of SrTeRh2.

Raw total energy, eV/f.u.: -21.072
Energy relative to the elements, uncorrected, meV/atom: -386
Density of states at the Fermi level, states/eV per atom: 0.259

Cell and atoms, written as CIF:
```
data_SrTeRh2
_space_group_name_H-M_alt 'P 4 m m'
_space_group_IT_number 99
_space_group_name_Hall 'P 4 -2'
_cell_length_a 4.424
_cell_length_b 4.424
_cell_length_c 4.906
_cell_angle_alpha 90.00
_cell_angle_beta 90.00
_cell_angle_gamma 90.00
loop_
_atom_site_label
_atom_site_type_symbol
_atom_site_fract_x
_atom_site_fract_y
_atom_site_fract_z
Sr1 Sr 0.000 0.000 0.000
Te1 Te 0.500 0.500 0.292
Rh1 Rh 0.000 0.500 0.541
```